## VCrTcI2 (PBE)

Data for a relaxed structure of VCrTcI2.

E_tot = -5.020 eV/atom
energy relative to the elements, uncorrected = 7.11 eV/f.u.
crystal system = tetragonal

Cell and atoms, written as CIF:
```
data_VCrTcI2
_symmetry_space_group_name_H-M 'P 4/m m m'
_symmetry_Int_Tables_number 123
_symmetry_space_group_name_Hall '-P 4 2'
_cell_length_a 5.309
_cell_length_b 5.309
_cell_length_c 4.532
_cell_angle_alpha 90.00
_cell_angle_beta 90.00
_cell_angle_gamma 90.00
loop_
_atom_site_label
_atom_site_type_symbol
_atom_site_fract_x
_atom_site_fract_y
_atom_site_fract_z
V1 V 0.000 0.000 0.000
Cr1 Cr 0.000 0.000 0.500
Tc1 Tc 0.500 0.500 0.000
I1 I 0.000 0.500 0.500
```

---

## Zn2InPt (PBE)

Data for a relaxed structure of Zn2InPt.

E_tot = -3.054 eV/atom
crystal system = monoclinic
energy of formation = -0.22 eV per atom

Cell and atoms, written as CIF:
```
data_Zn2InPt
_symmetry_space_group_name_H-M 'P 1 m 1'
_symmetry_Int_Tables_number 6
_symmetry_space_group_name_Hall 'P -2y'
_cell_length_a 3.129
_cell_length_b 4.310
_cell_length_c 5.173
_cell_angle_alpha 90.00
_cell_angle_beta 98.14
_cell_angle_gamma 90.00
loop_
_atom_site_label
_atom_site_type_symbol
_atom_site_fract_x
_atom_site_fract_y
_atom_site_fract_z
Zn1 Zn 0.000 0.000 0.000
Zn2 Zn 0.468 0.500 0.856
In1 In 0.842 0.500 0.360
Pt1 Pt 0.362 0.000 0.561
```